Entry from Alexandria: an optimized crystal structure of NaLi6Cd3 (PBE).

Results
Formation energy: -73.0 meV per atom
Raw total energy: -0.1196 Ry/atom
SG: Cmc2_1 (36)

```
data_NaLi6Cd3
_chemical_formula_sum 'Na2 Li12 Cd6'
_cell_length_a 8.352
_cell_length_b 8.352
_cell_length_c 5.964
_cell_angle_alpha 90.00
_cell_angle_beta 90.00
_cell_angle_gamma 100.51
_space_group_name_H-M_alt 'P 1'
_space_group_IT_number 1
loop_
_space_group_symop_operation_xyz
'x,y,z'
loop_
_atom_site_label
_atom_site_type_symbol
_atom_site_fract_x
_atom_site_fract_y
_atom_site_fract_z
Na1 Na 0.199 0.801 0.500
Na2 Na 0.801 0.199 0.000
Li1 Li 0.003 0.997 0.238
Li2 Li 0.061 0.484 0.186
Li3 Li 0.199 0.801 0.996
Li4 Li 0.270 0.479 0.812
Li5 Li 0.479 0.270 0.312
Li6 Li 0.484 0.061 0.686
Li7 Li 0.516 0.939 0.186
Li8 Li 0.521 0.730 0.812
Li9 Li 0.730 0.521 0.312
Li10 Li 0.801 0.199 0.496
Li11 Li 0.939 0.516 0.686
Li12 Li 0.997 0.003 0.738
Cd1 Cd 0.162 0.264 0.482
Cd2 Cd 0.264 0.162 0.982
Cd3 Cd 0.408 0.592 0.247
Cd4 Cd 0.592 0.408 0.747
Cd5 Cd 0.736 0.838 0.482
Cd6 Cd 0.838 0.736 0.982
```

=====

Entry from Alexandria: an optimized crystal structure of Pm8Pr2Y3 (PBE).

Results
Formation energy: 207.6 meV per atom
Raw total energy: -0.3633 Ry/atom
SG: C2/m (12)
Energy relative to the lowest polymorph listed for this composition: 191 meV/atom

```
data_Pm8Pr2Y3
_chemical_formula_sum 'Pm8 Pr2 Y3'
_cell_length_a 11.137
_cell_length_b 11.137
_cell_length_c 5.707
_cell_angle_alpha 90.01
_cell_angle_beta 90.01
_cell_angle_gamma 40.58
_space_group_name_H-M_alt 'P 1'
_space_group_IT_number 1
loop_
_space_group_symop_operation_xyz
'x,y,z'
loop_
_atom_site_label
_atom_site_type_symbol
_atom_site_fract_x
_atom_site_fract_y
_atom_site_fract_z
Pm1 Pm 0.102 0.690 0.000
Pm2 Pm 0.168 0.168 0.500
Pm3 Pm 0.310 0.898 0.000
Pm4 Pm 0.369 0.369 0.500
Pm5 Pm 0.631 0.631 0.500
Pm6 Pm 0.690 0.102 0.000
Pm7 Pm 0.832 0.832 0.500
Pm8 Pm 0.898 0.310 0.000
Pr1 Pr 0.259 0.259 0.000
Pr2 Pr 0.741 0.741 0.000
Y1 Y 0.215 0.785 0.500
Y2 Y 0.500 0.500 0.000
Y3 Y 0.785 0.215 0.500
```

=====

Entry from Alexandria: an optimized crystal structure of Dy3HoAu2 (PBE).

Results
Formation energy: -637.4 meV per atom
Raw total energy: -0.3523 Ry/atom
SG: Pmc2_1 (26)
Energy relative to the lowest polymorph listed for this composition: 0 meV/atom

```
data_Dy3HoAu2
_chemical_formula_sum 'Dy6 Ho2 Au4'
_cell_length_a 4.968
_cell_length_b 8.949
_cell_length_c 7.088
_cell_angle_alpha 90.00
_cell_angle_beta 90.00
_cell_angle_gamma 90.00
_space_group_name_H-M_alt 'P 1'
_space_group_IT_number 1
loop_
_space_group_symop_operation_xyz
'x,y,z'
loop_
_atom_site_label
_atom_site_type_symbol
_atom_site_fract_x
_atom_site_fract_y
_atom_site_fract_z
Dy1 Dy 0.000 0.074 0.000
Dy2 Dy 0.000 0.332 0.363
Dy3 Dy 0.000 0.668 0.863
Dy4 Dy 0.000 0.926 0.500
Dy5 Dy 0.500 0.169 0.662
Dy6 Dy 0.500 0.831 0.162
Ho1 Ho 0.500 0.427 0.025
Ho2 Ho 0.500 0.573 0.525
Au1 Au 0.000 0.348 0.771
Au2 Au 0.000 0.652 0.271
Au3 Au 0.500 0.153 0.253
Au4 Au 0.500 0.847 0.753
```

=====

Look up the formation energy of the first one.
-73.0 meV per atom

=====

The highest raw total energy belongs to which entry?
NaLi6Cd3

=====

The highest raw total energy belongs to which entry?
NaLi6Cd3